No. 1
## BaAc2Ni (PBE-GGA)

Data for crystalline BaAc2Ni at its relaxed geometry.

As for the crystal system: trigonal. The energy above the lowest structure with this stoichiometry comes out at 1.0 meV/atom. The formation energy comes out at -10.4 kJ/mol of atoms. For the volume, the calculation gives 41.968 Å³ per atom. The calculation puts the total energy at -49.06 eV/cell.

The space group is R-3m (No. 166, hexagonal axes) and the conventional cell measures 4.3042, 4.3042 and 31.3894 Å, with angles of 90.00, 90.00 and 120.00 degrees. The asymmetric unit holds Ba at (0.0000, 0.0000, 0.0000), Ac at (0.0000, 0.0000, 0.2173) and Ni at (0.0000, 0.0000, 0.5000).

***

No. 2
## BaAc3Ni (PBE-GGA)

Data for crystalline BaAc3Ni at its relaxed geometry.

As for the crystal system: cubic. The formation energy comes out at -2.3 kJ/mol of atoms. For the volume, the calculation gives 42.310 Å³ per atom. The calculation puts the total energy at -20.15 eV/cell.

The space group is Pm-3m (No. 221) and the conventional cell measures 5.9585, 5.9585 and 5.9585 Å, with angles of 90.00, 90.00 and 90.00 degrees. The asymmetric unit holds Ba at (0.0000, 0.0000, 0.0000), Ac at (0.0000, 0.5000, 0.5000) and Ni at (0.5000, 0.5000, 0.5000).

***

No. 3
## BaAc8Ni5 (PBE-GGA)

Data for crystalline BaAc8Ni5 at its relaxed geometry.

As for the crystal system: monoclinic. The formation energy comes out at -16.1 kJ/mol of atoms. For the volume, the calculation gives 35.374 Å³ per atom. The calculation puts the total energy at -132.07 eV/cell.

The space group is C2/m (No. 12) and the conventional cell measures 22.5697, 4.3616 and 10.4226 Å, with angles of 90.00, 105.12 and 90.00 degrees. The asymmetric unit holds Ba at (0.0000, 0.0000, 0.0000), Ac at (0.0683, 0.0000, 0.6650), Ac at (0.1001, 0.5000, 0.3724), Ac at (0.1747, 0.5000, 0.9745), Ac at (0.2459, 0.0000, 0.3280), Ni at (0.0000, 0.5000, 0.5000), Ni at (0.1719, 0.0000, 0.5429) and Ni at (0.2050, 0.0000, 0.8088).

***

No. 4
## BaAcNi (PBE-GGA)

Data for crystalline BaAcNi at its relaxed geometry.

As for the crystal system: tetragonal. The energy above the lowest structure with this stoichiometry comes out at 127.1 meV/atom. The formation energy comes out at -0.6 kJ/mol of atoms. For the volume, the calculation gives 34.847 Å³ per atom. The calculation puts the total energy at -23.67 eV/cell.

The space group is I4mm (No. 107) and the conventional cell measures 3.8105, 3.8105 and 14.3996 Å, with angles of 90.00, 90.00 and 90.00 degrees. The asymmetric unit holds Ba at (0.0000, 0.0000, 0.0000), Ac at (0.0000, 0.0000, 0.2482) and Ni at (0.0000, 0.0000, 0.6496).

***

No. 5
## Ba2AcNi9 (PBE-GGA)

Data for crystalline Ba2AcNi9 at its relaxed geometry.

As for the crystal system: trigonal. The formation energy comes out at -0.9 kJ/mol of atoms. For the volume, the calculation gives 16.840 Å³ per atom. The calculation puts the total energy at -180.27 eV/cell.

The space group is R-3m (No. 166, hexagonal axes) and the conventional cell measures 5.2233, 5.2233 and 25.6586 Å, with angles of 90.00, 90.00 and 120.00 degrees. The asymmetric unit holds Ba at (0.0000, 0.0000, 0.1400), Ac at (0.0000, 0.0000, 0.0000), Ni at (0.0000, 0.0000, 0.3317), Ni at (0.0000, 0.0000, 0.5000) and Ni at (0.0066, 0.5033, 0.0758).

***

No. 6
## BaAcNi (PBE-GGA)

Data for crystalline BaAcNi at its relaxed geometry.

As for the crystal system: orthorhombic. The energy above the lowest structure with this stoichiometry comes out at 0.0 meV/atom. The formation energy comes out at -12.9 kJ/mol of atoms. For the volume, the calculation gives 37.702 Å³ per atom. The calculation puts the total energy at -48.86 eV/cell.

The space group is Cmcm (No. 63) and the conventional cell measures 4.1299, 26.1252 and 4.1932 Å, with angles of 90.00, 90.00 and 90.00 degrees. The asymmetric unit holds Ba at (0.0000, 0.1847, 0.2500), Ac at (0.0000, 0.4373, 0.2500) and Ni at (0.0000, 0.0251, 0.2500).

***

No. 7
## Ba2AcNi (PBE-GGA)

Data for crystalline Ba2AcNi at its relaxed geometry.

As for the crystal system: trigonal. The energy above the lowest structure with this stoichiometry comes out at 334.9 meV/atom. The formation energy comes out at 24.5 kJ/mol of atoms. For the volume, the calculation gives 43.937 Å³ per atom. The calculation puts the total energy at -38.16 eV/cell.

The space group is R-3m (No. 166, hexagonal axes) and the conventional cell measures 4.1588, 4.1588 and 35.2009 Å, with angles of 90.00, 90.00 and 120.00 degrees. The asymmetric unit holds Ba at (0.0000, 0.0000, 0.1141), Ac at (0.0000, 0.0000, 0.0000) and Ni at (0.0000, 0.0000, 0.5000).

***

No. 8
## BaAcNi (PBE-GGA)

Data for crystalline BaAcNi at its relaxed geometry.

As for the crystal system: orthorhombic. The energy above the lowest structure with this stoichiometry comes out at 78.8 meV/atom. The formation energy comes out at -5.3 kJ/mol of atoms. For the volume, the calculation gives 39.497 Å³ per atom. The calculation puts the total energy at -47.91 eV/cell.

The space group is Cmcm (No. 63) and the conventional cell measures 4.0189, 28.1583 and 4.1882 Å, with angles of 90.00, 90.00 and 90.00 degrees. The asymmetric unit holds Ba at (0.0000, 0.1888, 0.2500), Ac at (0.0000, 0.0594, 0.7500) and Ni at (0.0000, 0.4774, 0.7500).

***

No. 9
## Ba2AcNi (PBE-GGA)

Data for crystalline Ba2AcNi at its relaxed geometry.

As for the crystal system: orthorhombic. The energy above the lowest structure with this stoichiometry comes out at 0.0 meV/atom. The formation energy comes out at -7.8 kJ/mol of atoms. For the volume, the calculation gives 44.986 Å³ per atom. The calculation puts the total energy at -28.12 eV/cell.

The space group is Pmn2_1 (No. 31) and the conventional cell measures 4.2911, 19.5504 and 4.2899 Å, with angles of 90.00, 90.00 and 90.00 degrees. The asymmetric unit holds Ba at (0.0000, 0.0865, 0.0000), Ba at (0.0000, 0.7364, 0.0012), Ac at (0.0000, 0.4279, 0.0028) and Ni at (0.0000, 0.5791, 0.0030).

***

No. 10
## BaAcNi (PBE-GGA)

Data for crystalline BaAcNi at its relaxed geometry.

As for the crystal system: trigonal. The energy above the lowest structure with this stoichiometry comes out at 80.0 meV/atom. The formation energy comes out at -5.2 kJ/mol of atoms. For the volume, the calculation gives 40.274 Å³ per atom. The calculation puts the total energy at -11.97 eV/cell.

The space group is P3m1 (No. 156) and the conventional cell measures 4.3840, 4.3840 and 7.2591 Å, with angles of 90.00, 90.00 and 120.00 degrees. The asymmetric unit holds Ba at (0.0000, 0.0000, 0.0000), Ac at (0.6667, 0.3333, 0.4538) and Ni at (0.3333, 0.6667, 0.2588).

***

No. 11
## BaAc2Ni (PBE-GGA)

Data for crystalline BaAc2Ni at its relaxed geometry.

As for the crystal system: trigonal. The energy above the lowest structure with this stoichiometry comes out at 0.0 meV/atom. The formation energy comes out at -10.5 kJ/mol of atoms. For the volume, the calculation gives 42.079 Å³ per atom. The calculation puts the total energy at -49.07 eV/cell.

The space group is R3m (No. 160, hexagonal axes) and the conventional cell measures 4.3234, 4.3234 and 31.1936 Å, with angles of 90.00, 90.00 and 120.00 degrees. The asymmetric unit holds Ba at (0.0000, 0.0000, 0.0000), Ac at (0.0000, 0.0000, 0.5494), Ac at (0.0000, 0.0000, 0.7816) and Ni at (0.0000, 0.0000, 0.1651).